PBE with a Hubbard U SrVAgO4, optimized geometry; E_tot = -6.439 eV/atom; space group = No. 11; Fermi-level density of states = 0.0 states/eV/cell
1.0
5.793 0.000 0.000
0.000 6.334 0.000
-2.492 0.000 6.247
Sr V Ag O
2 2 2 8
direct
0.245 0.250 0.468
0.755 0.750 0.532
0.186 0.750 0.159
0.814 0.250 0.841
0.450 0.250 0.051
0.550 0.750 0.949
0.065 0.250 0.755
0.115 0.750 0.885
0.380 0.533 0.274
0.380 0.967 0.274
0.620 0.033 0.726
0.620 0.467 0.726
0.885 0.250 0.115
0.935 0.750 0.245